# 1
{"formula": "Th2Ga2AgRh5", "functional": "PBE", "state": "relaxed", "lattice_angstrom": [[9.861, 0.000, 0.000], [0.000, 9.861, 0.000], [0.000, 0.000, 3.718]], "species": ["Th", "Th", "Th", "Th", "Ga", "Ga", "Ga", "Ga", "Ag", "Ag", "Rh", "Rh", "Rh", "Rh", "Rh", "Rh", "Rh", "Rh", "Rh", "Rh"], "frac_coords": [[0.180, 0.320, 0.000], [0.320, 0.820, 0.000], [0.680, 0.180, 0.000], [0.820, 0.680, 0.000], [0.118, 0.618, 0.000], [0.382, 0.118, 0.000], [0.618, 0.882, 0.000], [0.882, 0.382, 0.000], [0.000, 0.000, 0.000], [0.500, 0.500, 0.000], [0.000, 0.500, 0.500], [0.073, 0.790, 0.500], [0.210, 0.073, 0.500], [0.290, 0.573, 0.500], [0.427, 0.290, 0.500], [0.500, 0.000, 0.500], [0.573, 0.710, 0.500], [0.710, 0.427, 0.500], [0.790, 0.927, 0.500], [0.927, 0.210, 0.500]], "space_group": "No. 127", "ef_ev_per_atom": -0.648, "rho_kg_m3": 11260, "volume_a3_per_atom": 18.08}

# 2
{"formula": "TlZnSi2", "functional": "PBE", "state": "relaxed", "lattice_angstrom": [[-1.472, 2.531, 5.210], [1.472, -2.531, 5.210], [1.472, 2.531, -5.210]], "species": ["Tl", "Zn", "Si", "Si"], "frac_coords": [[0.000, 0.000, 0.000], [0.500, 0.500, 0.000], [0.282, 0.782, 0.500], [0.718, 0.218, 0.500]], "e_above_lowest_polymorph_mev_per_atom": 266, "space_group": "No. 71", "rho_kg_m3": 6971, "volume_a3_per_atom": 19.41}

# 3
{"formula": "CaY2OsO8", "functional": "PBE", "state": "relaxed", "lattice_angstrom": [[3.547, -3.584, 0.000], [3.547, 3.584, 0.000], [0.000, 0.000, 6.889]], "species": ["Ca", "Y", "Y", "Os", "O", "O", "O", "O", "O", "O", "O", "O"], "frac_coords": [[0.000, 0.000, 0.000], [0.500, 0.500, 0.242], [0.500, 0.500, 0.758], [0.000, 0.000, 0.500], [0.182, 0.818, 0.306], [0.182, 0.818, 0.694], [0.268, 0.268, 0.500], [0.310, 0.310, 0.000], [0.690, 0.690, 0.000], [0.732, 0.732, 0.500], [0.818, 0.182, 0.306], [0.818, 0.182, 0.694]], "space_group": "No. 65", "rho_kg_m3": 5083, "energy_ev_per_cell": -93.54, "volume_a3_per_atom": 14.60}

# 4
{"formula": "AlCrTc", "functional": "PBE", "state": "relaxed", "lattice_angstrom": [[4.264, 0.000, 0.000], [0.000, 4.363, 0.000], [-2.129, 0.000, 4.369]], "species": ["Al", "Al", "Cr", "Cr", "Tc", "Tc"], "frac_coords": [[0.081, 0.250, 0.159], [0.919, 0.750, 0.841], [0.403, 0.250, 0.804], [0.597, 0.750, 0.196], [0.244, 0.750, 0.490], [0.756, 0.250, 0.510]], "e_above_lowest_polymorph_mev_per_atom": 130, "space_group": "No. 11", "ef_ev_per_atom": -0.171, "rho_kg_m3": 7231, "volume_a3_per_atom": 13.55}

# 5
{"formula": "AcCd6Pd6", "functional": "PBE", "state": "relaxed", "lattice_angstrom": [[-2.812, 4.672, 4.903], [2.812, -4.672, 4.903], [2.812, 4.672, -4.903]], "species": ["Ac", "Cd", "Cd", "Cd", "Cd", "Cd", "Cd", "Pd", "Pd", "Pd", "Pd", "Pd", "Pd"], "frac_coords": [[0.000, 0.000, 0.000], [0.199, 0.699, 0.500], [0.345, 0.000, 0.345], [0.351, 0.351, 0.000], [0.649, 0.649, 0.000], [0.655, 0.000, 0.655], [0.801, 0.301, 0.500], [0.000, 0.000, 0.500], [0.000, 0.500, 0.000], [0.227, 0.500, 0.727], [0.500, 0.000, 0.000], [0.500, 0.500, 0.500], [0.773, 0.500, 0.273]], "space_group": "No. 71", "ef_ev_per_atom": -0.436, "rho_kg_m3": 9927, "volume_a3_per_atom": 19.82}

# 6
{"formula": "K2Hg2Ir", "functional": "PBE", "state": "relaxed", "lattice_angstrom": [[7.279, 0.000, 0.000], [0.000, 7.279, 0.000], [0.000, 0.000, 5.555]], "species": ["K", "K", "K", "K", "Hg", "Hg", "Hg", "Hg", "Ir", "Ir"], "frac_coords": [[0.172, 0.328, 0.000], [0.328, 0.828, 0.000], [0.672, 0.172, 0.000], [0.828, 0.672, 0.000], [0.165, 0.665, 0.500], [0.335, 0.165, 0.500], [0.665, 0.835, 0.500], [0.835, 0.335, 0.500], [0.000, 0.000, 0.500], [0.500, 0.500, 0.500]], "space_group": "No. 127", "ef_ev_per_atom": 0.166, "rho_kg_m3": 7578, "volume_a3_per_atom": 29.43}

# 7
{"formula": "K2CuIBr3", "functional": "PBE", "state": "relaxed", "lattice_angstrom": [[-2.620, 2.698, 8.377], [2.620, -2.698, 8.377], [2.620, 2.698, -8.377]], "species": ["K", "K", "Cu", "I", "Br", "Br", "Br"], "frac_coords": [[0.145, 0.145, 0.000], [0.855, 0.855, 0.000], [0.500, 0.500, 0.000], [0.000, 0.500, 0.500], [0.342, 0.342, 0.000], [0.500, 0.000, 0.500], [0.658, 0.658, 0.000]], "space_group": "No. 71", "rho_kg_m3": 3564, "energy_ev_per_cell": -19.86, "volume_a3_per_atom": 33.83}

# 8
{"formula": "NaLa2SbO6", "functional": "PBE", "state": "relaxed", "lattice_angstrom": [[2.978, 1.720, 4.680], [-2.978, 1.720, 4.680], [0.000, -3.439, 4.680]], "species": ["Na", "La", "La", "Sb", "O", "O", "O", "O", "O", "O"], "frac_coords": [[0.000, 0.000, 0.000], [0.262, 0.262, 0.262], [0.738, 0.738, 0.738], [0.500, 0.500, 0.500], [0.165, 0.377, 0.707], [0.293, 0.835, 0.623], [0.377, 0.707, 0.165], [0.623, 0.293, 0.835], [0.707, 0.165, 0.377], [0.835, 0.623, 0.293]], "space_group": "No. 148", "rho_kg_m3": 5988, "energy_ev_per_cell": -70.65, "volume_a3_per_atom": 14.38}

# 9
{"formula": "NaSr3Sc", "functional": "PBE", "state": "relaxed", "lattice_angstrom": [[6.515, 0.000, 0.000], [0.000, 6.515, 0.000], [0.000, 0.000, 6.515]], "species": ["Na", "Sr", "Sr", "Sr", "Sc"], "frac_coords": [[0.000, 0.000, 0.000], [0.000, 0.500, 0.500], [0.500, 0.000, 0.500], [0.500, 0.500, 0.000], [0.500, 0.500, 0.500]], "e_above_lowest_polymorph_mev_per_atom": 0, "space_group": "No. 221", "ef_ev_per_atom": 0.543, "rho_kg_m3": 1987, "volume_a3_per_atom": 55.30}

# 10
{"formula": "Zn2SnPt", "functional": "PBE", "state": "relaxed", "lattice_angstrom": [[-3.844, 3.844, 2.672], [3.844, -3.844, 2.672], [3.844, 3.844, -2.672]], "species": ["Zn", "Zn", "Zn", "Zn", "Sn", "Sn", "Pt", "Pt"], "frac_coords": [[0.082, 0.625, 0.957], [0.375, 0.332, 0.457], [0.668, 0.125, 0.043], [0.875, 0.918, 0.543], [0.250, 0.750, 0.500], [0.500, 0.500, 0.000], [0.000, 0.000, 0.000], [0.750, 0.250, 0.500]], "space_group": "No. 122", "ef_ev_per_atom": -0.045, "rho_kg_m3": 9348, "volume_a3_per_atom": 19.75}